[1]
First-principles (PBE) data for a relaxed PrNpTe3 crystal, as listed in Alexandria via LeMat-Bulk.

a = 5.8522 Å, b = 7.5960 Å, c = 9.8697 Å
α = 112.63°, β = 90.00°, γ = 90.00°
With the nearest neighbours (Å) after each atom.
Sites, in units of the cell vectors:
Pr  0.0000  0.7140  0.4281  1 Te 3.01
Pr  0.0000  0.2860  0.5719  1 Te 3.01
Te  0.0000  0.1208  0.2416  2 Np 2.93, 1 Pr 3.01
Te  0.0000  0.8792  0.7584  2 Np 2.93, 1 Pr 3.01
Te  0.5000  0.0000  0.5000  2 Np 3.11
Te  0.5000  0.2717  0.0000  2 Np 2.94
Te  0.5000  0.7283  0.0000  2 Np 2.94
Te  0.5000  0.5000  0.5000  2 Np 3.11
Np  0.5000  0.1151  0.2303  6 Te 2.93-3.11
Np  0.5000  0.8849  0.7697  6 Te 2.93-3.11

Results
**Raw formation energy**: -3.069 eV per formula unit
**Space group**: No. 65
**Excess energy over the best structure of this formula in the dataset**: 161.8 kJ/mol of formula units
**Total moment**: 3.85 μB per formula unit
**Crystal system**: orthorhombic

---

[2]
First-principles (PBE) data for a relaxed PrNpTe2 crystal, as listed in Alexandria via LeMat-Bulk.

a = 3.8258 Å, b = 3.8258 Å, c = 7.7543 Å
α = 90.00°, β = 90.00°, γ = 90.00°
With the nearest neighbours (Å) after each atom.
Sites, in units of the cell vectors:
Te  0.0000  0.0000  0.7431  4 Np 3.30, 4 Pr 3.36
Te  0.0000  0.0000  0.2569  4 Np 3.30, 4 Pr 3.36
Pr  0.5000  0.5000  0.0000  8 Te 3.36
Np  0.5000  0.5000  0.5000  8 Te 3.30

Results
**Raw formation energy**: -3.664 eV per formula unit
**Space group**: No. 123
**Excess energy over the best structure of this formula in the dataset**: 36.4 kJ/mol of formula units
**Total moment**: 5.29 μB per formula unit
**Crystal system**: tetragonal

---

[3]
First-principles (PBE) data for a relaxed PrNp2Te4 crystal, as listed in Alexandria via LeMat-Bulk.

a = 4.3347 Å, b = 7.5289 Å, c = 15.1453 Å
α = 90.00°, β = 90.00°, γ = 106.73°
With the nearest neighbours (Å) after each atom.
Sites, in units of the cell vectors:
Te  0.2235  0.4469  0.8752  3 Np 3.11-3.13, 2 Pr 3.27
Te  0.5000  0.0000  0.5000  4 Np 3.08
Te  0.7765  0.5531  0.3752  3 Np 3.11-3.13, 2 Pr 3.27
Te  0.7765  0.5531  0.1248  3 Np 3.11-3.13, 2 Pr 3.27
Te  0.5000  0.0000  0.0000  4 Np 3.08
Te  0.9536  0.9071  0.7500  2 Np 3.09, 2 Pr 3.20
Te  0.0464  0.0929  0.2500  2 Np 3.09, 2 Pr 3.20
Te  0.2235  0.4469  0.6248  3 Np 3.11-3.13, 2 Pr 3.27
Np  0.8642  0.7284  0.5646  6 Te 3.08-3.13
Np  0.1358  0.2716  0.4354  6 Te 3.08-3.13
Np  0.8642  0.7284  0.9354  6 Te 3.08-3.13
Np  0.1358  0.2716  0.0646  6 Te 3.08-3.13
Pr  0.3834  0.7668  0.2500  6 Te 3.20-3.27
Pr  0.6166  0.2332  0.7500  6 Te 3.20-3.27

Results
**Raw formation energy**: -6.144 eV per formula unit
**Space group**: No. 63
**Total moment**: 8.84 μB per formula unit
**Crystal system**: orthorhombic